Computed, not measured: crystalline LiZnGaF6 at its relaxed geometry at the PBE level of DFT.

Volume (Å³ per atom): 11.71
Calculated total energy (eV per atom): -4.5236
Uncorrected formation energy (eV per atom): -2.59

Unit cell a=5.195 b=5.195 c=9.022 alpha=90.00 beta=90.00 gamma=120.00
Positions (direct):
1 Li 0.000 0.000 0.000
2 Li 0.000 0.000 0.500
3 Zn 0.333 0.667 0.250
4 Zn 0.667 0.333 0.750
5 Ga 0.333 0.667 0.750
6 Ga 0.667 0.333 0.250
7 F 0.020 0.358 0.633
8 F 0.020 0.662 0.867
9 F 0.338 0.358 0.867
10 F 0.338 0.980 0.633
11 F 0.358 0.020 0.133
12 F 0.358 0.338 0.367
13 F 0.642 0.662 0.633
14 F 0.642 0.980 0.867
15 F 0.662 0.020 0.367
16 F 0.662 0.642 0.133
17 F 0.980 0.338 0.133
18 F 0.980 0.642 0.367

---

Computed, not measured: crystalline Lu2GaF at its relaxed geometry at the PBE level of DFT.

Volume (Å³ per atom): 28.85
Calculated total energy (eV per atom): -4.9264
Uncorrected formation energy (eV per atom): -1.44

Unit cell a=7.213 b=7.213 c=7.213 alpha=35.90 beta=35.90 gamma=35.90
Positions (direct):
1 Lu 0.105 0.105 0.105
2 Lu 0.895 0.895 0.895
3 Ga 0.500 0.500 0.500
4 F 0.000 0.000 0.000

---

Computed, not measured: crystalline LuGaF at its relaxed geometry at the PBE level of DFT.

Volume (Å³ per atom): 18.53
Calculated total energy (eV per atom): -4.6010
Uncorrected formation energy (eV per atom): -1.46

Unit cell a=5.986 b=5.986 c=5.986 alpha=149.35 beta=149.35 gamma=43.90
Positions (direct):
1 Lu 0.000 0.000 0.000
2 Ga 0.288 0.288 0.000
3 F 0.557 0.557 0.000

---

Computed, not measured: crystalline MgGaF4 at its relaxed geometry at the PBE level of DFT.

Volume (Å³ per atom): 14.94
Calculated total energy (eV per atom): -4.6683
Uncorrected formation energy (eV per atom): -2.65

Unit cell a=5.798 b=5.798 c=5.654 alpha=116.82 beta=116.82 gamma=32.28
Positions (direct):
1 Mg 0.000 0.000 0.000
2 Ga 0.500 0.500 0.500
3 F 0.100 0.100 0.411
4 F 0.402 0.402 0.060
5 F 0.598 0.598 0.940
6 F 0.900 0.900 0.589

---

Computed, not measured: crystalline MgGa2F6 at its relaxed geometry at the PBE level of DFT.

Volume (Å³ per atom): 15.19
Calculated total energy (eV per atom): -4.7641
Uncorrected formation energy (eV per atom): -2.67
Energy above the lowest structure with this stoichiometry (meV per atom): 0

Unit cell a=8.194 b=8.194 c=4.907 alpha=106.98 beta=106.98 gamma=61.98
Positions (direct):
1 Mg 0.118 0.882 0.750
2 Mg 0.882 0.118 0.250
3 Ga 0.054 0.347 0.852
4 Ga 0.347 0.054 0.352
5 Ga 0.653 0.946 0.648
6 Ga 0.946 0.653 0.148
7 F 0.009 0.158 0.995
8 F 0.151 0.662 0.455
9 F 0.158 0.009 0.495
10 F 0.193 0.308 0.563
11 F 0.308 0.193 0.063
12 F 0.338 0.849 0.045
13 F 0.662 0.151 0.955
14 F 0.692 0.807 0.937
15 F 0.807 0.692 0.437
16 F 0.842 0.991 0.505
17 F 0.849 0.338 0.545
18 F 0.991 0.842 0.005

---

Computed, not measured: crystalline MgGaF2 at its relaxed geometry at the PBE level of DFT.

Volume (Å³ per atom): 17.80
Calculated total energy (eV per atom): -4.5232
Uncorrected formation energy (eV per atom): -2.43
Energy above the lowest structure with this stoichiometry (meV per atom): 0

Unit cell a=9.039 b=9.039 c=9.039 alpha=19.39 beta=19.39 gamma=19.39
Positions (direct):
1 Mg 0.000 0.000 0.000
2 Ga 0.500 0.500 0.500
3 F 0.370 0.370 0.370
4 F 0.630 0.630 0.630